Entry from Alexandria: crystalline Sc3ZnC at its relaxed geometry (GGA-PBE).

```
data_Sc3ZnC
_cell_length_a 3.9867
_cell_length_b 3.9867
_cell_length_c 15.1474
_cell_angle_alpha 90.00
_cell_angle_beta 90.00
_cell_angle_gamma 120.00
_space_group_name_H-M_alt 'P 1'
_space_group_IT_number 1
_space_group_name_Hall 'P 1'
loop_
_atom_site_label
_atom_site_fract_x
_atom_site_fract_y
_atom_site_fract_z
Sc1 0.0000 0.0000 0.2500
Sc2 0.0000 0.0000 0.7500
Sc3 0.3333 0.6667 0.0668
Sc4 0.3333 0.6667 0.4332
Sc5 0.6667 0.3333 0.5668
Sc6 0.6667 0.3333 0.9332
Zn1 0.3333 0.6667 0.2500
Zn2 0.6667 0.3333 0.7500
C1 0.0000 0.0000 0.0000
C2 0.0000 0.0000 0.5000
```

## Properties
Energy above the lowest structure with this stoichiometry, meV per atom: 811.5
Energy of formation from the pure elements, eV per atom: 0.374